[1]
Material: KRbHg2Bi2
Method: DFT, PBE-GGA
State: optimized geometry

* total DFT energy (no corrections): -12.271 eV/cell
* formation energy from the elements: -0.3068 eV per atom
* calculated volume: 239 Å³/cell

a b c (Å): 5.051 5.051 10.806
angles (deg): 90.00 90.00 120.00
Fractional positions:
K  0.000  0.000  0.000
Rb  0.000  0.000  0.500
Hg  0.333  0.667  0.220
Hg  0.667  0.333  0.780
Bi  0.333  0.667  0.750
Bi  0.667  0.333  0.250


[2]
Material: PmSm6Tm3
Method: DFT, PBE-GGA
State: optimized geometry

* total DFT energy (no corrections): -89.973 eV/cell
* formation energy from the elements: 0.1493 eV per atom
* calculated volume: 660 Å³/cell
* energy above the most stable polymorph in this dataset: 20.9 meV/atom

a b c (Å): 11.053 11.053 6.254
angles (deg): 90.00 90.00 120.29
Fractional positions:
Pm  0.199  0.801  0.500
Pm  0.801  0.199  0.000
Sm  0.040  0.960  0.273
Sm  0.053  0.472  0.747
Sm  0.280  0.720  0.024
Sm  0.291  0.375  0.923
Sm  0.375  0.291  0.423
Sm  0.472  0.053  0.247
Sm  0.528  0.947  0.747
Sm  0.625  0.709  0.923
Sm  0.709  0.625  0.423
Sm  0.720  0.280  0.524
Sm  0.947  0.528  0.247
Sm  0.960  0.040  0.773
Tm  0.058  0.284  0.341
Tm  0.284  0.058  0.841
Tm  0.386  0.614  0.460
Tm  0.614  0.386  0.960
Tm  0.716  0.942  0.341
Tm  0.942  0.716  0.841


[3]
Material: Rb2BaI6F
Method: DFT, PBE-GGA
State: optimized geometry

* total DFT energy (no corrections): -24.975 eV/cell
* calculated volume: 510 Å³/cell
* formation energy without anion corrections: -0.99 eV/atom

a b c (Å): 8.773 8.773 8.773
angles (deg): 114.13 114.13 100.51
Fractional positions:
Rb  0.250  0.750  0.500
Rb  0.750  0.250  0.500
Ba  0.000  0.000  0.000
I  0.247  0.247  0.494
I  0.247  0.753  0.000
I  0.300  0.300  0.000
I  0.700  0.700  0.000
I  0.753  0.247  0.000
I  0.753  0.753  0.506
F  0.500  0.500  0.000


[4]
Material: SbPtSe2
Method: DFT, PBE-GGA
State: optimized geometry

* total DFT energy (no corrections): -17.234 eV/cell
* calculated volume: 104 Å³/cell
* formation energy without anion corrections: -0.03 eV/atom

a b c (Å): 8.187 8.187 3.681
angles (deg): 101.09 101.09 25.45
Fractional positions:
Sb  0.000  0.000  0.000
Pt  0.359  0.359  0.878
Se  0.582  0.582  0.570
Se  0.823  0.823  0.347


[5]
Material: Li2Tl2Pb7
Method: DFT, PBE-GGA
State: optimized geometry

* total DFT energy (no corrections): -34.644 eV/cell
* formation energy from the elements: -0.0114 eV per atom
* calculated volume: 320 Å³/cell

a b c (Å): 7.252 7.252 6.169
angles (deg): 90.29 90.29 80.35
Fractional positions:
Li  0.196  0.196  0.182
Li  0.804  0.804  0.818
Tl  0.184  0.816  0.000
Tl  0.816  0.184  0.000
Pb  0.000  0.000  0.500
Pb  0.092  0.440  0.734
Pb  0.440  0.092  0.734
Pb  0.455  0.455  0.255
Pb  0.545  0.545  0.745
Pb  0.560  0.908  0.266
Pb  0.908  0.560  0.266


[6]
Material: PmH3Rh
Method: DFT, PBE-GGA
State: optimized geometry

* total DFT energy (no corrections): -25.111 eV/cell
* calculated volume: 51 Å³/cell

a b c (Å): 3.718 3.718 3.718
angles (deg): 90.00 90.00 90.00
Fractional positions:
Pm  0.000  0.000  0.000
H  0.000  0.500  0.500
H  0.500  0.000  0.500
H  0.500  0.500  0.000
Rh  0.500  0.500  0.500


[7]
Material: LaAg2Ru2
Method: DFT, PBE-GGA
State: optimized geometry

* total DFT energy (no corrections): -28.016 eV/cell
* formation energy from the elements: 0.2331 eV per atom
* calculated volume: 104 Å³/cell
* energy above the most stable polymorph in this dataset: 0.0 meV/atom

a b c (Å): 6.545 6.545 6.545
angles (deg): 142.32 142.32 54.35
Fractional positions:
La  0.000  0.000  0.000
Ag  0.250  0.750  0.500
Ag  0.750  0.250  0.500
Ru  0.403  0.403  0.000
Ru  0.597  0.597  0.000


Computed magnetic moment (μB/cell) in order:
0.00, 0.00, 0.00, 0.00, 0.00, 0.00, 1.29
Computed DOS at the Fermi energy (states/eV/cell) in order:
0.5, 28.0, 18.1, 1.2, 4.1, 0.9, 5.5